Entry 1:
Material: Na4PaTa3O12
Method: DFT, PBE-GGA
State: optimized geometry

## Properties
Energy relative to the elements, uncorrected: -2.6970 eV per atom
E_tot: -163.8 eV for the cell shown

```
Na4PaTa3O12
1.0
-0.8551 -6.7060 -2.0586
4.3603 0.2205 5.5569
-6.2637 2.7251 1.8111
O Ta Na Pa
12 3 4 1
Cartesian
-2.7314 0.4776 3.6221
-1.4068 2.1771 5.4457
-1.8573 -1.0386 -0.0646
-2.6831 -3.6118 0.7508
-5.2615 -2.9423 -0.1829
-0.4966 0.7685 1.9223
2.5907 -4.7935 2.5856
1.2767 -2.5064 3.5911
-0.0271 -4.2380 1.6873
0.9145 -1.6920 0.9127
-0.0754 -0.1486 4.5586
-4.0352 -1.2541 1.7182
-0.9517 1.4728 3.6840
-3.5594 -1.9905 -0.1237
1.7526 -3.2428 1.7492
-0.4276 -3.3530 -1.0293
2.1801 0.1103 2.7784
-1.3792 -1.8802 2.6547
-3.1318 1.3625 0.9055
0.0000 0.0000 0.0000
```

***

Entry 2:
Material: Na2PaTaO6
Method: DFT, PBE-GGA
State: optimized geometry

## Properties
Energy relative to the elements, uncorrected: -2.8201 eV per atom
E_tot: -81.9 eV for the cell shown

```
Na2PaTaO6
1.0
-1.8264 3.7717 1.0236
-2.3102 0.3378 -5.3670
-4.7727 -2.8204 1.8768
O Na Ta Pa
6 2 1 1
Cartesian
-0.3328 0.6872 0.1865
-6.6565 0.7038 -1.9560
-3.8279 -0.6497 -1.5845
-4.1527 2.1835 -2.9406
-5.4446 0.5266 0.8596
-2.9407 2.0062 -0.1250
-1.2401 0.3445 -2.6358
-2.4714 -1.2346 0.9861
-1.1123 2.2970 0.6234
-4.7325 1.2186 -1.0775
```